1.
Density functional theory data (GGA-PBE) for crystalline BeCd2Hg at its relaxed geometry.

abc: 5.2496 5.2496 5.2496
angles: 132.38 132.38 69.62
Fractional positions:
Be  0.0000  0.0000  0.0000
Cd  0.2500  0.7500  0.5000
Cd  0.7500  0.2500  0.5000
Hg  0.5000  0.5000  0.0000

## Properties
Distance to the lowest polymorph of the same formula (eV/atom): 0.1817
Mass density (g cm⁻³): 9.3
Uncorrected energy (eV per atom): -1.075
Energy of formation (eV/atom): 0.39


2.
Density functional theory data (GGA-PBE) for crystalline ScTlIr at its relaxed geometry.

abc: 6.3720 6.3720 6.3720
angles: 151.11 151.11 41.32
Fractional positions:
Sc  0.0000  0.0000  0.0000
Tl  0.2950  0.2950  0.0000
Ir  0.6265  0.6265  0.0000

## Properties
Mass density (g cm⁻³): 12.2
Uncorrected energy (eV per atom): -6.186
Energy of formation (eV/atom): -0.33


3.
Density functional theory data (GGA-PBE) for crystalline Y2GaBi2 at its relaxed geometry.

abc: 8.2100 8.2100 4.2989
angles: 90.00 90.00 90.00
Fractional positions:
Y  0.1530  0.3470  0.0000
Y  0.3470  0.8470  0.0000
Y  0.6530  0.1530  0.0000
Y  0.8470  0.6530  0.0000
Ga  0.0000  0.0000  0.0000
Ga  0.5000  0.5000  0.0000
Bi  0.1577  0.6577  0.5000
Bi  0.3423  0.1577  0.5000
Bi  0.6577  0.8423  0.5000
Bi  0.8423  0.3423  0.5000

## Properties
Distance to the lowest polymorph of the same formula (eV/atom): 0.0000
Mass density (g cm⁻³): 7.6
Uncorrected energy (eV per atom): -5.249
Energy of formation (eV/atom): -0.51


4.
Density functional theory data (GGA-PBE) for crystalline CrOs2Ru at its relaxed geometry.

abc: 4.6614 4.6614 4.6614
angles: 132.05 132.05 70.16
Fractional positions:
Cr  0.0000  0.0000  0.0000
Os  0.2500  0.7500  0.5000
Os  0.7500  0.2500  0.5000
Ru  0.5000  0.5000  0.0000

## Properties
Distance to the lowest polymorph of the same formula (eV/atom): 0.0312
Mass density (g cm⁻³): 16.2
Uncorrected energy (eV per atom): -10.242
Energy of formation (eV/atom): 0.10


5.
Density functional theory data (GGA-PBE) for crystalline CeErSn2 at its relaxed geometry.

abc: 9.8722 9.8722 9.8722
angles: 21.63 21.63 21.63
Fractional positions:
Ce  0.0000  0.0000  0.0000
Er  0.5000  0.5000  0.5000
Sn  0.2469  0.2469  0.2469
Sn  0.7531  0.7531  0.7531

## Properties
Mass density (g cm⁻³): 7.9
Uncorrected energy (eV per atom): -5.056
Energy of formation (eV/atom): -0.43


6.
Density functional theory data (GGA-PBE) for crystalline Tm2NiIr at its relaxed geometry.

abc: 4.7509 4.7509 4.7509
angles: 60.00 60.00 60.00
Fractional positions:
Tm  0.2500  0.2500  0.2500
Tm  0.7500  0.7500  0.7500
Ni  0.0000  0.0000  0.0000
Ir  0.5000  0.5000  0.5000

## Properties
Distance to the lowest polymorph of the same formula (eV/atom): 0.0000
Mass density (g cm⁻³): 12.9
Uncorrected energy (eV per atom): -6.627
Energy of formation (eV/atom): -0.73


7.
Density functional theory data (GGA-PBE) for crystalline TlReMo2 at its relaxed geometry.

abc: 4.0517 4.0517 4.1109
angles: 90.00 90.00 90.00
Fractional positions:
Tl  0.0000  0.0000  0.0000
Re  0.5000  0.5000  0.0000
Mo  0.0000  0.5000  0.5000
Mo  0.5000  0.0000  0.5000

## Properties
Distance to the lowest polymorph of the same formula (eV/atom): 0.3030
Mass density (g cm⁻³): 14.3
Uncorrected energy (eV per atom): -8.397
Energy of formation (eV/atom): 0.72


8.
Density functional theory data (GGA-PBE) for crystalline Tm6Te3C at its relaxed geometry.

abc: 9.3978 9.3978 6.6890
angles: 90.00 90.00 105.84
Fractional positions:
Tm  0.0566  0.9434  0.5000
Tm  0.1082  0.5713  0.5071
Tm  0.2098  0.7902  0.0643
Tm  0.2619  0.4233  0.9691
Tm  0.4233  0.2619  0.4691
Tm  0.4287  0.8918  0.5071
Tm  0.5713  0.1082  0.0071
Tm  0.5767  0.7381  0.9691
Tm  0.7381  0.5767  0.4691
Tm  0.7902  0.2098  0.5643
Tm  0.8918  0.4287  0.0071
Tm  0.9434  0.0566  0.0000
Te  0.1030  0.2605  0.3316
Te  0.2605  0.1030  0.8316
Te  0.4286  0.5714  0.6040
Te  0.5714  0.4286  0.1040
Te  0.7395  0.8970  0.3316
Te  0.8970  0.7395  0.8316
C  0.1941  0.8059  0.3954
C  0.8059  0.1941  0.8954

## Properties
Formation energy without anion corrections (kJ/mol of atoms): -64
Mass density (g cm⁻³): 8.2
Uncorrected energy (eV per atom): -5.210


9.
Density functional theory data (GGA-PBE) for crystalline TlCd12Au5 at its relaxed geometry.

abc: 8.2041 8.2041 8.2041
angles: 119.29 113.17 96.73
Fractional positions:
Tl  0.0000  0.0000  0.0000
Cd  0.1196  0.8284  0.2912
Cd  0.2158  0.3123  0.5280
Cd  0.2158  0.6877  0.9035
Cd  0.2589  0.0723  0.8134
Cd  0.2589  0.4455  0.1866
Cd  0.4628  0.1716  0.2912
Cd  0.5372  0.8284  0.7088
Cd  0.7411  0.5545  0.8134
Cd  0.7411  0.9277  0.1866
Cd  0.7842  0.3123  0.0965
Cd  0.7842  0.6877  0.4720
Cd  0.8804  0.1716  0.7088
Au  0.1360  0.6360  0.5000
Au  0.5000  0.1662  0.6662
Au  0.5000  0.5000  0.0000
Au  0.5000  0.8338  0.3338
Au  0.8640  0.3640  0.5000

## Properties
Mass density (g cm⁻³): 10.3
Uncorrected energy (eV per atom): -1.741
Energy of formation (eV/atom): -0.09


10.
Density functional theory data (GGA-PBE) for crystalline PaRh3O6 at its relaxed geometry.

abc: 6.1304 6.1304 3.5411
angles: 90.00 90.00 110.49
Fractional positions:
Pa  0.0000  0.0000  0.0000
Rh  0.0000  0.5000  0.5000
Rh  0.5000  0.0000  0.5000
Rh  0.5000  0.5000  0.0000
O  0.1403  0.8597  0.5000
O  0.1527  0.4113  0.0000
O  0.4113  0.1527  0.0000
O  0.5887  0.8473  0.0000
O  0.8473  0.5887  0.0000
O  0.8597  0.1403  0.5000

## Properties
Formation energy without anion corrections (kJ/mol of atoms): -144
Mass density (g cm⁻³): 8.5
Uncorrected energy (eV per atom): -7.621


11.
Density functional theory data (GGA-PBE) for crystalline LiAc5Y4 at its relaxed geometry.

abc: 3.9213 3.9213 24.3163
angles: 90.00 90.00 90.00
Fractional positions:
Li  0.0000  0.0000  0.0000
Ac  0.5000  0.5000  0.0891
Ac  0.5000  0.5000  0.2958
Ac  0.5000  0.5000  0.5000
Ac  0.5000  0.5000  0.7042
Ac  0.5000  0.5000  0.9109
Y  0.0000  0.0000  0.1933
Y  0.0000  0.0000  0.3980
Y  0.0000  0.0000  0.6020
Y  0.0000  0.0000  0.8067

## Properties
Mass density (g cm⁻³): 6.7
Uncorrected energy (eV per atom): -4.776
Energy of formation (eV/atom): 0.06


12.
Density functional theory data (GGA-PBE) for crystalline YVGa4 at its relaxed geometry.

abc: 5.2721 5.2721 5.2721
angles: 60.00 60.00 60.00
Fractional positions:
Y  0.0000  0.0000  0.0000
V  0.2500  0.2500  0.2500
Ga  0.1269  0.6244  0.6244
Ga  0.6244  0.1269  0.6244
Ga  0.6244  0.6244  0.1269
Ga  0.6244  0.6244  0.6244

## Properties
Mass density (g cm⁻³): 6.7
Uncorrected energy (eV per atom): -4.814
Energy of formation (eV/atom): -0.20


13.
Density functional theory data (GGA-PBE) for crystalline TiTlMo at its relaxed geometry.

abc: 3.2297 4.9978 7.5973
angles: 80.63 77.95 89.42
Fractional positions:
Ti  0.0826  0.2088  0.3247
Ti  0.9174  0.7912  0.6753
Tl  0.2214  0.7404  0.0649
Tl  0.7786  0.2596  0.9351
Mo  0.4514  0.2731  0.5891
Mo  0.5486  0.7269  0.4109

## Properties
Distance to the lowest polymorph of the same formula (eV/atom): 0.2038
Mass density (g cm⁻³): 9.8
Uncorrected energy (eV per atom): -6.781
Energy of formation (eV/atom): 0.25


14.
Density functional theory data (GGA-PBE) for crystalline PmPr6Nd2Dy3 at its relaxed geometry.

abc: 6.3593 6.3593 12.0601
angles: 95.04 95.04 120.02
Fractional positions:
Pm  0.0000  0.0000  0.0000
Pr  0.0845  0.4177  0.2537
Pr  0.2486  0.2486  0.7462
Pr  0.4177  0.0845  0.2537
Pr  0.5823  0.9155  0.7463
Pr  0.7514  0.7514  0.2538
Pr  0.9155  0.5823  0.7463
Nd  0.3334  0.6666  0.0000
Nd  0.6666  0.3334  0.0000
Dy  0.1667  0.8333  0.5000
Dy  0.5000  0.5000  0.5000
Dy  0.8333  0.1667  0.5000

## Properties
Mass density (g cm⁻³): 7.1
Uncorrected energy (eV per atom): -4.718
Energy of formation (eV/atom): 0.01


15.
Density functional theory data (GGA-PBE) for crystalline Li4TlCd at its relaxed geometry.

abc: 3.3936 4.7045 7.2700
angles: 90.00 103.58 90.00
Fractional positions:
Li  0.0000  0.0000  0.0000
Li  0.1434  0.5000  0.2881
Li  0.3329  0.0000  0.6650
Li  0.8119  0.5000  0.6268
Tl  0.6695  0.0000  0.3380
Cd  0.4746  0.5000  0.9513

## Properties
Distance to the lowest polymorph of the same formula (eV/atom): 0.0000
Mass density (g cm⁻³): 5.1
Uncorrected energy (eV per atom): -2.037
Energy of formation (eV/atom): -0.21


16.
Density functional theory data (GGA-PBE) for crystalline Pr13Sm2 at its relaxed geometry.

abc: 6.8731 9.2674 9.2682
angles: 66.69 82.46 82.44
Fractional positions:
Pr  0.0000  0.0000  0.0000
Pr  0.1006  0.4345  0.7659
Pr  0.1971  0.1972  0.2040
Pr  0.2992  0.6309  0.9695
Pr  0.3015  0.9649  0.6354
Pr  0.3985  0.3988  0.4026
Pr  0.4996  0.1677  0.8337
Pr  0.5004  0.8323  0.1663
Pr  0.6015  0.6012  0.5974
Pr  0.6985  0.0351  0.3646
Pr  0.7008  0.3691  0.0305
Pr  0.8029  0.8028  0.7960
Pr  0.8994  0.5655  0.2341
Sm  0.0995  0.7674  0.4319
Sm  0.9005  0.2326  0.5681

## Properties
Distance to the lowest polymorph of the same formula (eV/atom): 0.0000
Mass density (g cm⁻³): 6.6
Uncorrected energy (eV per atom): -4.721
Energy of formation (eV/atom): 0.05


17.
Density functional theory data (GGA-PBE) for crystalline YP2PtS at its relaxed geometry.

abc: 5.2491 5.2491 5.0195
angles: 90.00 90.00 90.00
Fractional positions:
Y  0.0000  0.0000  0.0000
P  0.0000  0.5000  0.0000
P  0.5000  0.0000  0.0000
Pt  0.5000  0.5000  0.5000
S  0.0000  0.0000  0.5000

## Properties
Formation energy without anion corrections (kJ/mol of atoms): 92
Distance to the lowest polymorph of the same formula (eV/atom): 1.1018
Mass density (g cm⁻³): 4.5
Uncorrected energy (eV per atom): -4.535


18.
Density functional theory data (GGA-PBE) for crystalline SiC3 at its relaxed geometry.

abc: 4.8586 4.8586 5.6075
angles: 90.00 90.00 120.00
Fractional positions:
Si  0.3333  0.6667  0.2500
Si  0.6667  0.3333  0.7500
C  0.2337  0.4673  0.7500
C  0.2337  0.7663  0.7500
C  0.4673  0.2337  0.2500
C  0.5327  0.7663  0.7500
C  0.7663  0.2337  0.2500
C  0.7663  0.5327  0.2500

## Properties
Formation energy without anion corrections (kJ/mol of atoms): 233
Distance to the lowest polymorph of the same formula (eV/atom): 1.9167
Mass density (g cm⁻³): 1.9
Uncorrected energy (eV per atom): -5.858


19.
Density functional theory data (GGA-PBE) for crystalline Co2CuPb at its relaxed geometry.

abc: 4.6965 4.6965 4.6965
angles: 130.99 130.99 71.83
Fractional positions:
Co  0.0000  0.0000  0.0000
Co  0.7500  0.2500  0.5000
Cu  0.2500  0.7500  0.5000
Pb  0.5000  0.5000  0.0000

## Properties
Mass density (g cm⁻³): 11.2
Uncorrected energy (eV per atom): -5.054
Energy of formation (eV/atom): 0.45


20.
Density functional theory data (GGA-PBE) for crystalline Ba4FeSb at its relaxed geometry.

abc: 7.1209 7.1209 7.1209
angles: 60.00 60.00 60.00
Fractional positions:
Ba  0.1254  0.1254  0.1254
Ba  0.1254  0.1254  0.6237
Ba  0.1254  0.6237  0.1254
Ba  0.6237  0.1254  0.1254
Fe  0.7500  0.7500  0.7500
Sb  0.5000  0.5000  0.5000

## Properties
Formation energy without anion corrections (kJ/mol of atoms): 61
Mass density (g cm⁻³): 4.7
Uncorrected energy (eV per atom): -2.748


21.
Density functional theory data (GGA-PBE) for crystalline KTi2F8 at its relaxed geometry.

abc: 6.7327 6.7327 6.7327
angles: 145.83 96.74 93.16
Fractional positions:
K  0.0000  0.0000  0.0000
Ti  0.3256  0.8256  0.5000
Ti  0.6744  0.1744  0.5000
F  0.0396  0.6852  0.3544
F  0.3293  0.3293  0.0000
F  0.3307  0.6852  0.6456
F  0.3629  0.0000  0.3629
F  0.6371  0.0000  0.6371
F  0.6693  0.3148  0.3544
F  0.6707  0.6707  0.0000
F  0.9604  0.3148  0.6456

## Properties
Formation energy without anion corrections (kJ/mol of atoms): -316
Distance to the lowest polymorph of the same formula (eV/atom): 0.0000
Mass density (g cm⁻³): 2.9
Uncorrected energy (eV per atom): -6.174


22.
Density functional theory data (GGA-PBE) for crystalline Ca2InBi6 at its relaxed geometry.

abc: 8.7077 8.7077 8.5372
angles: 117.21 117.21 29.91
Fractional positions:
Ca  0.0623  0.0623  0.3371
Ca  0.9377  0.9377  0.6629
In  0.5000  0.5000  0.0000
Bi  0.1594  0.1594  0.0218
Bi  0.2856  0.2856  0.6756
Bi  0.4050  0.4050  0.3323
Bi  0.5950  0.5950  0.6677
Bi  0.7144  0.7144  0.3244
Bi  0.8406  0.8406  0.9782

## Properties
Mass density (g cm⁻³): 8.5
Uncorrected energy (eV per atom): -3.618
Energy of formation (eV/atom): -0.28


23.
Density functional theory data (GGA-PBE) for crystalline CdTcAs2 at its relaxed geometry.

abc: 3.1921 3.1921 8.1431
angles: 90.00 90.00 90.00
Fractional positions:
Cd  0.0000  0.0000  0.0000
Tc  0.5000  0.5000  0.4695
As  0.0000  0.0000  0.3344
As  0.5000  0.5000  0.7594

## Properties
Mass density (g cm⁻³): 7.2
Uncorrected energy (eV per atom): -5.040
Energy of formation (eV/atom): 0.10


24.
Density functional theory data (GGA-PBE) for crystalline Pm3SmHo6 at its relaxed geometry.

abc: 10.9665 10.9665 6.2687
angles: 90.00 90.00 119.59
Fractional positions:
Pm  0.1102  0.8898  0.5000
Pm  0.2149  0.4376  0.8930
Pm  0.4376  0.2149  0.3930
Pm  0.5624  0.7851  0.8930
Pm  0.7851  0.5624  0.3930
Pm  0.8898  0.1102  0.0000
Sm  0.2986  0.7014  0.5693
Sm  0.7014  0.2986  0.0693
Ho  0.0350  0.4557  0.3022
Ho  0.1186  0.2119  0.4716
Ho  0.2119  0.1186  0.9716
Ho  0.2223  0.7777  0.0753
Ho  0.4557  0.0350  0.8022
Ho  0.4569  0.5431  0.3260
Ho  0.5431  0.4569  0.8260
Ho  0.5443  0.9650  0.3022
Ho  0.7777  0.2223  0.5753
Ho  0.7881  0.8814  0.4716
Ho  0.8814  0.7881  0.9716
Ho  0.9650  0.5443  0.8022

## Properties
Distance to the lowest polymorph of the same formula (eV/atom): 0.1310
Mass density (g cm⁻³): 8.0
Uncorrected energy (eV per atom): -4.495
Energy of formation (eV/atom): 0.15